Below is CaMgBIr2 after structural relaxation, with properties calculated at the PBE level.

Output
space group: P4/mmm (123)
formation energy from the elements: -0.357 eV per atom

Cell lengths 4.2422, 4.2422, 4.4120 Å; angles 90.00, 90.00, 90.00 degrees
Closest atoms and distances in Å follow each position.
Sites, in units of the cell vectors:
Ca: 0.0000 0.0000 0.0000  4 Mg 3.00, 8 Ir 3.06
Mg: 0.5000 0.5000 0.0000  2 B 2.21
B: 0.5000 0.5000 0.5000  4 Ir 2.12, 2 Mg 2.21
Ir: 0.0000 0.5000 0.5000  2 B 2.12
Ir: 0.5000 0.0000 0.5000  2 B 2.12